A plane-wave DFT calculation with GGA-PBE was carried out for an optimized crystal structure of CsSrAs.

```
data_CsSrAs
_cell_length_a 7.9604
_cell_length_b 4.5340
_cell_length_c 8.2604
_cell_angle_alpha 90.00
_cell_angle_beta 95.53
_cell_angle_gamma 90.00
_space_group_name_H-M_alt 'P 1 m 1'
_space_group_IT_number 6
loop_
_space_group_symop_operation_xyz
'x,y,z'
'x,-y,z'
loop_
_atom_site_label
_atom_site_type_symbol
_atom_site_fract_x
_atom_site_fract_y
_atom_site_fract_z
_atom_site_occupancy
Cs1 Cs 0.0000 0.0000 0.0000 1
Cs2 Cs 0.0399 0.5000 0.4799 1
Sr1 Sr 0.4993 0.0000 0.8945 1
Sr2 Sr 0.5238 0.0000 0.3436 1
As1 As 0.3491 0.5000 0.1142 1
As2 As 0.6733 0.5000 0.1310 1
```

Results
Density in g/cm3: 3.31
ΔE_f in kJ/mol of formula units: -154